Material: CaMgTcH2
Method: DFT, PBE
State: relaxed

Unit cell a=6.166 b=6.166 c=3.514 alpha=105.81 beta=105.81 gamma=32.32
Positions (direct):
Ca  0.000  0.000  0.000
Mg  0.268  0.268  0.255
Tc  0.659  0.659  0.643
H  0.492  0.492  0.495
H  0.809  0.809  0.706

Calculated values
energy relative to the lowest polymorph listed for this composition	64	meV per atom
raw total energy	-4.198	eV per atom
theoretical density	3.986	Mg/m³